A plane-wave DFT calculation with GGA-PBEsol was carried out for PrCu6 after structural relaxation.

The structure in POSCAR format:
```
PrCu6
1.0
-0.009 -4.776 1.518
0.913 -2.400 -7.543
9.914 0.329 1.095
Cu Pr
24 4
Direct
0.750 0.352 0.643 Cu
0.750 0.182 0.245 Cu
0.250 0.648 0.357 Cu
0.250 0.402 0.984 Cu
0.750 0.936 0.097 Cu
0.750 0.682 0.255 Cu
0.005 0.434 0.191 Cu
0.250 0.148 0.143 Cu
0.005 0.934 0.309 Cu
0.250 0.564 0.597 Cu
0.495 0.934 0.309 Cu
0.750 0.852 0.857 Cu
0.505 0.066 0.691 Cu
0.995 0.566 0.809 Cu
0.250 0.818 0.755 Cu
0.505 0.566 0.809 Cu
0.250 0.902 0.516 Cu
0.750 0.598 0.016 Cu
0.750 0.436 0.403 Cu
0.250 0.318 0.745 Cu
0.250 0.064 0.903 Cu
0.495 0.434 0.191 Cu
0.750 0.098 0.484 Cu
0.995 0.066 0.691 Cu
0.750 0.240 0.936 Pr
0.750 0.740 0.564 Pr
0.250 0.760 0.064 Pr
0.250 0.260 0.436 Pr
```

Properties
- Symmetry: Pnma
- Uncorrected energy: -4.57 eV/atom
- Energy of formation from the pure elements: -0.1103 eV/atom

=====

A plane-wave DFT calculation with GGA-PBEsol was carried out for Si3IrPt after structural relaxation.

The structure in POSCAR format:
```
Si3IrPt
1.0
4.536 0.000 0.000
0.000 4.536 0.000
0.000 0.000 4.536
Ir Si Pt
1 3 1
Direct
0.000 0.000 0.000 Ir
0.000 0.000 0.500 Si
0.000 0.500 0.000 Si
0.500 0.000 0.000 Si
0.500 0.500 0.500 Pt
```

Properties
- E_form (uncorrected): 0.49 eV/atom
- Symmetry: Pm-3m
- Uncorrected energy: -6.31 eV/atom